Compound: Rb2CO
Source: Alexandria
Functional: PBE
Structure: relaxed

abc: 8.244 8.244 8.244
angles: 92.47 92.47 156.04
Atoms (fractional coordinates):
Rb 0.375 0.129 0.254
Rb 0.871 0.125 0.246
Rb 0.875 0.121 0.746
Rb 0.879 0.625 0.754
C 0.250 0.750 0.500
C 0.500 0.500 0.000
O 0.000 0.000 0.000
O 0.750 0.250 0.500

Calculated values
Density of states at the Fermi level ... 5.51 states/eV/cell
Volume ... 222.58 Å³ per cell
Distance to the lowest polymorph of the same formula ... 0.000 eV/f.u.

***

Compound: Rb4CO4
Source: Alexandria
Functional: PBE
Structure: relaxed

abc: 6.995 6.445 8.417
angles: 90.00 94.08 90.00
Atoms (fractional coordinates):
Rb 0.035 0.000 0.414
Rb 0.045 0.788 0.962
Rb 0.384 0.501 0.382
Rb 0.455 0.514 0.847
Rb 0.545 0.014 0.153
Rb 0.616 0.001 0.618
Rb 0.955 0.288 0.038
Rb 0.965 0.500 0.586
C 0.210 0.083 0.742
C 0.790 0.583 0.258
O 0.002 0.103 0.737
O 0.256 0.873 0.701
O 0.285 0.226 0.632
O 0.290 0.127 0.901
O 0.710 0.627 0.099
O 0.715 0.726 0.368
O 0.744 0.373 0.299
O 0.998 0.603 0.263

Calculated values
Volume ... 378.50 Å³ per cell
Distance to the lowest polymorph of the same formula ... 0.000 eV/f.u.

***

Compound: RbC2O4
Source: Alexandria
Functional: PBE
Structure: relaxed

abc: 3.517 5.604 5.617
angles: 81.55 79.01 78.99
Atoms (fractional coordinates):
Rb 0.000 0.000 0.000
C 0.342 0.418 0.417
C 0.658 0.582 0.583
O 0.321 0.277 0.273
O 0.499 0.641 0.361
O 0.501 0.359 0.639
O 0.679 0.723 0.727

Calculated values
Density of states at the Fermi level ... 1.44 states/eV/cell
Volume ... 105.97 Å³ per cell
Energy ... -46.70 eV for the cell shown

***

Compound: Rb8C3O8
Source: Alexandria
Functional: PBE
Structure: relaxed

abc: 14.203 14.203 9.554
angles: 109.21 109.21 19.81
Atoms (fractional coordinates):
Rb 0.077 0.077 0.271
Rb 0.206 0.206 0.857
Rb 0.303 0.303 0.500
Rb 0.407 0.407 0.076
Rb 0.593 0.593 0.924
Rb 0.697 0.697 0.500
Rb 0.794 0.794 0.143
Rb 0.923 0.923 0.729
C 0.194 0.194 0.198
C 0.500 0.500 0.500
C 0.806 0.806 0.802
O 0.152 0.152 0.083
O 0.192 0.192 0.333
O 0.238 0.238 0.180
O 0.499 0.499 0.375
O 0.501 0.501 0.625
O 0.762 0.762 0.820
O 0.808 0.808 0.667
O 0.848 0.848 0.917

Calculated values
Density of states at the Fermi level ... 4.21 states/eV/cell
Volume ... 615.82 Å³ per cell
Energy ... -98.57 eV for the cell shown